Computed, not measured: Li2PtSe after structural relaxation at the PBEsol level of DFT.

```
Li2PtSe
1.0
3.9331 0.0000 0.0000
0.0000 3.9331 0.0000
-1.9666 -1.9666 3.6513
Se Pt Li
1 1 2
Cartesian
0.0000 1.9666 1.8257
1.9666 1.9666 0.0000
0.0000 0.0000 0.0000
1.9666 0.0000 1.8257
```

Summary:
**Space-group type**: No. 119
**DFT total energy**: -17.21 eV/cell



Computed, not measured: NaCo2Cl after structural relaxation at the PBEsol level of DFT.

```
NaCo2Cl
1.0
4.6066 0.0000 0.0000
0.0000 4.6066 0.0000
-2.3033 -2.3033 6.9920
Na Co Cl
2 4 2
Cartesian
2.3033 2.3033 0.0000
2.3033 0.0000 3.4960
1.1516 2.3033 5.2440
-1.1516 2.3033 5.2440
0.0000 3.4549 1.7480
0.0000 1.1516 1.7480
0.0000 0.0000 0.0000
0.0000 2.3033 3.4960
```

Summary:
**Space-group type**: No. 141
**E above lowest polymorph**: 0.000 eV/atom



Computed, not measured: CdPt after structural relaxation at the PBEsol level of DFT.

```
CdPt
1.0
4.0567 0.0000 0.0000
0.0000 4.0567 0.0000
-2.0284 -2.0284 4.0780
Pt Cd
2 2
Cartesian
2.0284 0.0000 2.0390
2.0284 2.0284 0.0000
0.0000 0.0000 0.0000
0.0000 2.0284 2.0390
```

Summary:
**Space-group type**: No. 141
**DFT total energy**: -17.18 eV/cell



Computed, not measured: NdCdNi2 after structural relaxation at the PBEsol level of DFT.

```
NdCdNi2
1.0
4.3596 0.0000 0.0000
2.1798 3.7755 0.0000
2.1798 1.2585 4.4725
Ni Nd Cd
2 1 1
Cartesian
6.5394 3.7755 3.9856
2.1798 1.2585 0.4869
4.3596 2.5170 2.2362
0.0000 0.0000 0.0000
```

Summary:
**Space-group type**: No. 166
**DFT total energy**: -19.48 eV/cell



Computed, not measured: CaScSCl2 after structural relaxation at the PBEsol level of DFT.

```
CaScSCl2
1.0
-1.7039 -0.3212 -4.6566
-4.1361 -2.1934 1.6648
-2.3434 4.8174 0.5251
Sc Ca S Cl
1 1 1 2
Cartesian
-4.0917 1.1514 -1.2333
0.0000 0.0000 0.0000
-1.1717 2.4087 0.2626
-2.0681 -1.0967 0.8324
-0.8520 -0.1606 -2.3283
```

Summary:
**Space-group type**: No. 123
**DFT total energy**: -22.73 eV/cell



Computed, not measured: MnCrOs2 after structural relaxation at the PBEsol level of DFT.

```
MnCrOs2
1.0
2.8725 0.0000 0.0000
0.0000 4.1954 0.0000
0.0000 0.0000 4.3677
Cr Mn Os
1 1 2
Cartesian
1.4363 2.0977 0.0000
0.0000 2.0977 2.1839
0.0000 0.0000 0.0000
1.4363 0.0000 2.1839
```

Summary:
**Space-group type**: No. 47
**DFT total energy**: -42.97 eV/cell



Computed, not measured: Al2IrOs after structural relaxation at the PBEsol level of DFT.

```
Al2IrOs
1.0
2.9949 0.0000 0.0000
0.0000 4.2219 0.0000
0.0000 0.0000 4.2219
Ir Os Al
1 1 2
Cartesian
1.4974 2.1110 2.1110
1.4974 0.0000 0.0000
0.0000 0.0000 2.1110
0.0000 2.1110 0.0000
```

Summary:
**Space-group type**: No. 123
**E above lowest polymorph**: 0.002 eV/atom



Computed, not measured: Zr2MnAs after structural relaxation at the PBEsol level of DFT.

```
Zr2MnAs
1.0
-1.9223 3.4514 2.1834
-4.3916 0.8699 -0.5757
-2.9163 -0.7935 3.3526
As Mn Zr
1 1 2
Cartesian
-4.6151 1.7639 2.4801
-6.9227 2.6459 3.7202
0.0000 0.0000 0.0000
-2.3076 0.8820 1.2401
```

Summary:
**Space-group type**: No. 216
**DFT total energy**: -33.00 eV/cell



Result set for magnetic moment: 0.00, 2.94, 0.00, 0.00, 1.00, 2.43, 0.00, 1.02 μB per cell, one per record in the order listed.